# 1
The following is a PBE calculation of Ti2Cl3 after structural relaxation, from Alexandria.

Properties
* space group: Cc (9)
* size of the total moment: 1.11 μB/f.u.
* Fermi-level density of states: 4.172 states/eV per cell
* formation energy without anion corrections: -103.9 kJ/mol of atoms
* calculated volume: 229 Å³ per cell

Lattice parameters (Å, degrees): 5.4551 7.4439 7.2608 59.16 77.41 64.84
Each line ends with the local moment (μB).
Fractional positions:
Cl: 0.3780 0.7426 0.4506  0.00
Cl: 0.4369 0.9456 0.8522  -0.01
Cl: 0.9369 0.7978 0.1477  -0.01
Cl: 0.8780 0.1931 0.5494  0.00
Cl: 0.4371 0.2805 0.2697  0.00
Ti: 0.9715 0.1684 0.8933  0.14
Cl: 0.9371 0.5502 0.7303  0.00
Ti: 0.4715 0.0617 0.1067  0.14
Ti: 0.4071 0.3330 0.6814  0.75
Ti: 0.9071 0.0145 0.3186  0.75

---

# 2
The following is a PBE calculation of TiCl2 after structural relaxation, from Alexandria.

Properties
* space group: Pnma (62)
* size of the total moment: 0.00 μB/f.u.
* Fermi-level density of states: 0.791 states/eV per cell
* formation energy without anion corrections: -145.8 kJ/mol of atoms
* calculated volume: 268 Å³ per cell

Lattice parameters (Å, degrees): 3.2419 5.9122 14.0062 90.00 90.00 90.00
Fractional positions:
Cl: 0.2500 0.0858 0.1260
Ti: 0.7500 0.6949 0.4981
Cl: 0.2500 0.9157 0.5966
Ti: 0.2500 0.8051 0.9981
Ti: 0.7500 0.1949 0.0019
Cl: 0.7500 0.4142 0.6260
Cl: 0.7500 0.5843 0.0966
Cl: 0.7500 0.9142 0.8740
Ti: 0.2500 0.3051 0.5019
Cl: 0.7500 0.0843 0.4034
Cl: 0.2500 0.4157 0.9034
Cl: 0.2500 0.5858 0.3740

---

# 3
The following is a PBE calculation of Ti7Cl16 after structural relaxation, from Alexandria.

Properties
* space group: Pnnm (58)
* size of the total moment: 3.04 μB/f.u.
* Fermi-level density of states: 23.563 states/eV per cell
* formation energy without anion corrections: -146.6 kJ/mol of atoms
* calculated volume: 1021 Å³ per cell

Lattice parameters (Å, degrees): 6.8636 10.1494 14.6507 90.00 90.00 90.00
Each line ends with the local moment (μB).
Fractional positions:
Cl: 0.5000 0.2375 0.0109  -0.01
Ti: 0.0000 0.9560 0.2610  0.59
Cl: 0.5000 0.7625 0.9891  -0.01
Cl: 0.5000 0.7734 0.7270  0.00
Cl: 0.0000 0.7607 0.9780  -0.01
Ti: 0.7025 0.7516 0.8600  0.02
Cl: 0.7492 0.5221 0.8707  0.00
Ti: 0.5000 0.4560 0.2390  0.59
Cl: 0.0000 0.2393 0.0220  -0.01
Cl: 0.7508 0.9779 0.3707  0.00
Cl: 0.2492 0.9779 0.3707  0.00
Cl: 0.0000 0.7375 0.4891  -0.01
Ti: 0.7025 0.2484 0.1400  0.02
Cl: 0.5000 0.7175 0.2514  0.00
Cl: 0.2492 0.0221 0.6293  0.00
Ti: 0.5000 0.5000 0.5000  1.33
Cl: 0.7459 0.4927 0.3704  -0.01
Cl: 0.7541 0.9927 0.1296  -0.01
Cl: 0.0000 0.2625 0.5109  -0.01
Ti: 0.7975 0.7484 0.3600  0.02
Ti: 0.2975 0.2484 0.1400  0.02
Ti: 0.0000 0.0000 0.0000  1.33
Cl: 0.5000 0.2825 0.7486  0.00
Cl: 0.0000 0.7825 0.7514  0.00
Cl: 0.5000 0.2607 0.5220  -0.01
Cl: 0.2459 0.0073 0.8704  -0.01
Cl: 0.2508 0.4779 0.1293  0.00
Cl: 0.2459 0.9927 0.1296  -0.01
Cl: 0.5000 0.2266 0.2730  0.00
Cl: 0.5000 0.7393 0.4780  -0.01
Ti: 0.2975 0.7516 0.8600  0.02
Cl: 0.7459 0.5073 0.6296  -0.01
Cl: 0.7508 0.0221 0.6293  0.00
Cl: 0.0000 0.2175 0.2486  0.00
Cl: 0.2508 0.5221 0.8707  0.00
Cl: 0.2541 0.4927 0.3704  -0.01
Ti: 0.2025 0.2516 0.6400  0.02
Cl: 0.0000 0.2734 0.7730  0.00
Ti: 0.0000 0.0440 0.7390  0.59
Cl: 0.7492 0.4779 0.1293  0.00
Cl: 0.2541 0.5073 0.6296  -0.01
Ti: 0.7975 0.2516 0.6400  0.02
Ti: 0.5000 0.5440 0.7610  0.59
Cl: 0.0000 0.7266 0.2270  0.00
Ti: 0.2025 0.7484 0.3600  0.02
Cl: 0.7541 0.0073 0.8704  -0.01

---

# 4
The following is a PBE calculation of TiTlCl2 after structural relaxation, from Alexandria.

Properties
* space group: R-3m (166)
* size of the total moment: 0.84 μB/f.u.
* Fermi-level density of states: 2.054 states/eV per cell
* formation energy without anion corrections: -60.0 kJ/mol of atoms
* calculated volume: 103 Å³ per cell

Lattice parameters (Å, degrees): 10.2086 10.2086 10.2086 19.40 19.40 19.40
Each line ends with the local moment (μB).
Fractional positions:
Cl: 0.0750 0.0750 0.0750  -0.01
Ti: 0.0000 0.0000 0.0000  0.65
Tl: 0.5000 0.5000 0.5000  -0.01
Cl: 0.9250 0.9250 0.9250  -0.01

---

# 5
The following is a PBE calculation of Ti2TlCl8 after structural relaxation, from Alexandria.

Properties
* space group: C2/m (12)
* size of the total moment: 1.00 μB/f.u.
* Fermi-level density of states: 9.100 states/eV per cell
* formation energy without anion corrections: -140.2 kJ/mol of atoms
* calculated volume: 396 Å³ per cell

Lattice parameters (Å, degrees): 8.0736 7.7505 7.7505 58.25 75.88 75.88
Each line ends with the local moment (μB).
Fractional positions:
Cl: 0.2223 0.3609 0.8955  -0.01
Cl: 0.8046 0.6306 0.6306  -0.01
Cl: 0.3988 0.8346 0.8346  -0.01
Cl: 0.7777 0.1045 0.6391  -0.01
Cl: 0.1954 0.3694 0.3694  -0.01
Cl: 0.2223 0.8955 0.3609  -0.01
Cl: 0.6012 0.1654 0.1654  -0.01
Ti: 0.3134 0.2006 0.2006  0.47
Tl: 0.0000 0.0000 0.0000  0.00
Cl: 0.7777 0.6391 0.1045  -0.01
Ti: 0.6866 0.7994 0.7994  0.47

---

# 6
The following is a PBE calculation of Ti2Tl2Cl7 after structural relaxation, from Alexandria.

Properties
* space group: C2/m (12)
* size of the total moment: 3.00 μB/f.u.
* Fermi-level density of states: 7.599 states/eV per cell
* formation energy without anion corrections: -120.4 kJ/mol of atoms
* calculated volume: 296 Å³ per cell

Lattice parameters (Å, degrees): 6.8724 6.7502 6.7502 71.97 95.17 95.17
Each line ends with the local moment (μB).
Fractional positions:
Cl: 0.7857 0.5652 0.5652  -0.02
Cl: 0.2175 0.5045 0.9369  -0.02
Tl: 0.5000 0.7774 0.2226  0.01
Ti: 0.0306 0.2367 0.2367  1.30
Cl: 0.7825 0.0631 0.4955  -0.02
Cl: 0.2143 0.4348 0.4348  -0.02
Ti: 0.9694 0.7633 0.7633  1.30
Tl: 0.5000 0.2226 0.7774  0.01
Cl: 0.2175 0.9369 0.5045  -0.02
Cl: 0.7825 0.4955 0.0631  -0.02
Cl: 0.0000 0.0000 0.0000  -0.02

---

# 7
The following is a PBE calculation of TiTl2Cl6 after structural relaxation, from Alexandria.

Properties
* space group: P4_2/mnm (136)
* size of the total moment: 0.00 μB/f.u.
* Fermi-level density of states: 0.000 states/eV per cell
* formation energy without anion corrections: -127.5 kJ/mol of atoms
* calculated volume: 608 Å³ per cell

Lattice parameters (Å, degrees): 6.8665 6.8665 12.9011 90.00 90.00 90.00
Fractional positions:
Cl: 0.6717 0.6717 0.3689
Cl: 0.8283 0.1717 0.1311
Cl: 0.1717 0.8283 0.8689
Tl: 0.0000 0.0000 0.6649
Cl: 0.7579 0.7579 0.0000
Cl: 0.6717 0.6717 0.6311
Cl: 0.8283 0.1717 0.8689
Cl: 0.2579 0.7421 0.5000
Tl: 0.0000 0.0000 0.3351
Cl: 0.1717 0.8283 0.1311
Ti: 0.0000 0.0000 0.0000
Cl: 0.3283 0.3283 0.6311
Tl: 0.5000 0.5000 0.1649
Ti: 0.5000 0.5000 0.5000
Cl: 0.2421 0.2421 0.0000
Cl: 0.7421 0.2579 0.5000
Cl: 0.3283 0.3283 0.3689
Tl: 0.5000 0.5000 0.8351

---

# 8
The following is a PBE calculation of TiTlCl6 after structural relaxation, from Alexandria.

Properties
* space group: R-3 (148)
* size of the total moment: 0.00 μB/f.u.
* Fermi-level density of states: 4.051 states/eV per cell
* formation energy without anion corrections: -113.0 kJ/mol of atoms
* calculated volume: 218 Å³ per cell

Lattice parameters (Å, degrees): 6.5331 6.5334 6.9984 62.18 62.18 60.01
Fractional positions:
Cl: 0.6176 0.2099 0.2282
Cl: 0.7900 0.0557 0.7718
Cl: 0.0557 0.3824 0.7718
Cl: 0.3824 0.7901 0.7718
Tl: 0.5000 0.5000 0.5000
Cl: 0.2100 0.9443 0.2282
Cl: 0.9443 0.6176 0.2282
Ti: 0.0000 0.0000 0.0000

---

# 9
The following is a PBE calculation of TiTlCl2 after structural relaxation, from Alexandria.

Properties
* space group: I-42d (122)
* size of the total moment: 2.64 μB/f.u.
* Fermi-level density of states: 7.600 states/eV per cell
* formation energy without anion corrections: -57.6 kJ/mol of atoms
* calculated volume: 258 Å³ per cell

Lattice parameters (Å, degrees): 6.7645 6.7645 7.3893 62.76 62.76 90.00
Each line ends with the local moment (μB).
Fractional positions:
Tl: 0.7500 0.2500 0.5000  0.08
Cl: 0.2325 0.6250 0.2500  -0.02
Cl: 0.5175 0.1250 0.2500  -0.02
Ti: 0.2500 0.7500 0.5000  1.77
Cl: 0.8750 0.7675 0.7500  -0.02
Ti: 0.5000 0.5000 0.0000  1.77
Tl: 0.0000 0.0000 0.0000  0.08
Cl: 0.3750 0.4825 0.7500  -0.02

---

# 10
The following is a PBE calculation of Ti2TlCl7 after structural relaxation, from Alexandria.

Properties
* space group: Cmmm (65)
* size of the total moment: 2.00 μB/f.u.
* Fermi-level density of states: 3.988 states/eV per cell
* formation energy without anion corrections: -129.8 kJ/mol of atoms
* calculated volume: 247 Å³ per cell

Lattice parameters (Å, degrees): 4.8012 7.6064 7.6064 117.18 90.00 90.00
Each line ends with the local moment (μB).
Fractional positions:
Cl: 0.5000 0.0450 0.3316  -0.01
Cl: 0.5000 0.3316 0.0450  -0.01
Cl: 0.5000 0.5000 0.5000  -0.01
Tl: 0.0000 0.0000 0.0000  0.00
Cl: 0.5000 0.6684 0.9550  -0.01
Ti: 0.5000 0.3033 0.6967  0.91
Cl: 0.0000 0.3021 0.6979  -0.03
Cl: 0.5000 0.9550 0.6684  -0.01
Ti: 0.5000 0.6967 0.3033  0.91
Cl: 0.0000 0.6979 0.3021  -0.03